(1)
{"formula": "La2Cd", "functional": "SCAN", "state": "PBEsol geometry", "formation_energy_ev_per_atom": -0.18, "rho_kg_m3": 7294, "cell": [[3.592, 0.000, 0.000], [-1.796, 6.245, -0.055], [0.000, -2.530, 7.942]], "species": ["La", "La", "La", "La", "Cd", "Cd"], "fractional_positions": [[0.368, 0.737, 0.263], [0.071, 0.142, 0.576], [0.359, 0.717, 0.698], [0.704, 0.409, 0.939], [0.004, 0.008, 0.038], [0.660, 0.321, 0.319]]}

---

(2)
{"formula": "LaCd", "functional": "SCAN", "state": "PBEsol geometry", "formation_energy_ev_per_atom": -0.32, "rho_kg_m3": 7643, "cell": [[-2.385, -0.942, -3.882], [3.796, -1.941, -1.862], [-2.053, -3.029, 4.784]], "species": ["La", "La", "Cd", "Cd"], "fractional_positions": [[0.750, 0.250, 0.500], [0.500, 0.500, 0.000], [0.000, 0.000, 0.000], [0.250, 0.750, 0.500]]}